Computed, not measured: a geometry-optimized TcO2F3 structure at the PBE level of DFT.

abc: 6.191 6.191 8.457
angles: 73.70 73.70 124.02
Positions (direct):
Tc1 0.586 0.414 0.250
Tc2 0.414 0.586 0.750
O1 0.893 0.539 0.271
O2 0.461 0.107 0.229
O3 0.539 0.893 0.771
O4 0.107 0.461 0.729
F1 0.415 0.585 0.250
F2 0.585 0.415 0.750
F3 0.168 0.289 0.024
F4 0.711 0.832 0.476
F5 0.832 0.711 0.976
F6 0.289 0.168 0.524

Results
Raw total energy in eV for the cell shown: -72.19
Raw formation energy in kJ/mol of formula units: -984